(1)
! Tb2PmSm3Er6 | the Alexandria database | GGA-PBE | optimized geometry; values from VASP
&SYSTEM
  ibrav = 0, nat = 12, ntyp = 4
/
ATOMIC_SPECIES
Sm 150.36 Sm.upf
Tb 158.93 Tb.upf
Er 167.26 Er.upf
Pm 145.00 Pm.upf
ATOMIC_POSITIONS crystal
Sm 0.167 0.833 0.500
Sm 0.500 0.500 0.500
Sm 0.833 0.167 0.500
Tb 0.667 0.333 0.000
Tb 0.333 0.667 0.000
Er 0.583 0.916 0.751
Er 0.417 0.084 0.249
Er 0.916 0.583 0.751
Er 0.750 0.750 0.249
Er 0.250 0.250 0.751
Er 0.084 0.417 0.249
Pm 0.000 0.000 0.000
CELL_PARAMETERS angstrom
-4.572 4.139 0.044
1.003 -3.431 -5.026
-6.054 -8.275 5.697
! - total magnetic moment (μB per atom) = 0.0000
! - total DFT energy (no corrections) (eV per atom) = -4.612
! - mass density (Mg/m³) = 8.4
! - calculated formation energy (eV/atom) = 0.016
! - Fermi-level density of states (states/eV/f.u.) = 14.5
! - space group = C2/m (12)

=====

(2)
! ErHg2Pd3 | the Alexandria database | GGA-PBE | optimized geometry; values from VASP
&SYSTEM
  ibrav = 0, nat = 12, ntyp = 3
/
ATOMIC_SPECIES
Pd 106.42 Pd.upf
Hg 200.59 Hg.upf
Er 167.26 Er.upf
ATOMIC_POSITIONS crystal
Pd 0.500 0.056 0.071
Pd 0.000 0.513 0.443
Pd 0.500 0.556 0.929
Pd 0.500 0.127 0.753
Pd 0.000 0.013 0.557
Pd 0.500 0.627 0.247
Hg 0.000 0.897 0.243
Hg 0.500 0.226 0.416
Hg 0.000 0.397 0.757
Hg 0.500 0.726 0.584
Er 0.000 0.881 0.873
Er 0.000 0.381 0.127
CELL_PARAMETERS angstrom
-2.437 1.958 -3.163
-2.057 -5.484 -1.810
-6.599 0.662 5.494
! - total magnetic moment (μB per atom) = 0.0000
! - total DFT energy (no corrections) (eV per atom) = -3.923
! - mass density (Mg/m³) = 12.6
! - calculated formation energy (eV/atom) = -0.465
! - ΔE to the lowest computed polymorph (eV per formula unit) = 0.405
! - Fermi-level density of states (states/eV/f.u.) = 1.7
! - space group = Pmc2_1 (26)